{
  "formula": "PmVFeO5",
  "functional": "PBE with a Hubbard U",
  "state": "relaxed",
  "cell": [[6.1009, 0.7548, -0.1136], [-1.0590, 6.0555, -0.1136], [-2.2070, -2.9811, 7.3184]],
  "species": ["O", "O", "O", "O", "V", "Fe", "O", "V", "O", "O", "Pm", "O", "Pm", "O", "Fe", "O"],
  "fractional_positions": [[0.6780, 0.6788, 0.8418], [0.8920, 0.1080, 0.7500], [0.3220, 0.3212, 0.1582], [0.6788, 0.6780, 0.3418], [0.3684, 0.6316, 0.7500], [0.6816, 0.3184, 0.7500], [0.3212, 0.3220, 0.6582], [0.6316, 0.3684, 0.2500], [0.7369, 0.2545, 0.4217], [0.1080, 0.8920, 0.2500], [0.0000, 0.0000, 0.5000], [0.7455, 0.2631, 0.0783], [0.0000, 0.0000, 0.0000], [0.2631, 0.7455, 0.5783], [0.3184, 0.6816, 0.2500], [0.2545, 0.7369, 0.9217]],
  "e_tot_ev_per_atom": -7.563,
  "crystal_system": "monoclinic",
  "volume_a3_per_atom": 17.03,
  "magmom_total_mub_per_cell": 7.921
}